# HgRh2Pb4, relaxed, DFT PBE
data_HgRh2Pb4
_chemical_formula_sum 'Hg1 Rh2 Pb4'
_cell_length_a 4.615
_cell_length_b 4.615
_cell_length_c 9.981
_cell_angle_alpha 76.63
_cell_angle_beta 76.63
_cell_angle_gamma 60.00
_space_group_name_H-M_alt 'P 1'
_space_group_IT_number 1
_space_group_name_Hall 'P 1'
loop_
_atom_site_label
_atom_site_type_symbol
_atom_site_fract_x
_atom_site_fract_y
_atom_site_fract_z
Pb1 Pb 0.199 0.199 0.403
Pb2 Pb 0.606 0.606 0.183
Pb3 Pb 0.801 0.801 0.597
Pb4 Pb 0.394 0.394 0.817
Rh1 Rh 0.901 0.901 0.296
Rh2 Rh 0.099 0.099 0.704
Hg1 Hg 0.000 0.000 0.000
# * magnetization: 0.0 μB/cell
# * DFT formation energy: -0.033 eV/atom
# * space-group type: R-3m

=====

# ReNi2As, relaxed, DFT PBE
data_ReNi2As
_chemical_formula_sum 'Re1 Ni2 As1'
_cell_length_a 4.178
_cell_length_b 4.178
_cell_length_c 4.178
_cell_angle_alpha 60.00
_cell_angle_beta 60.00
_cell_angle_gamma 60.00
_space_group_name_H-M_alt 'P 1'
_space_group_IT_number 1
_space_group_name_Hall 'P 1'
loop_
_atom_site_label
_atom_site_type_symbol
_atom_site_fract_x
_atom_site_fract_y
_atom_site_fract_z
Re1 Re 0.750 0.750 0.750
Ni1 Ni 0.000 0.000 0.000
Ni2 Ni 0.250 0.250 0.250
As1 As 0.500 0.500 0.500
# * magnetization: 0.0 μB/cell
# * DFT formation energy: 0.133 eV/atom
# * space-group type: F-43m

=====

# TbPm6Y5, relaxed, DFT PBE
data_TbPm6Y5
_chemical_formula_sum 'Tb1 Pm6 Y5'
_cell_length_a 11.880
_cell_length_b 6.267
_cell_length_c 6.265
_cell_angle_alpha 59.99
_cell_angle_beta 84.98
_cell_angle_gamma 79.93
_space_group_name_H-M_alt 'P 1'
_space_group_IT_number 1
_space_group_name_Hall 'P 1'
loop_
_atom_site_label
_atom_site_type_symbol
_atom_site_fract_x
_atom_site_fract_y
_atom_site_fract_z
Pm1 Pm 0.750 0.415 0.667
Pm2 Pm 0.750 0.083 0.333
Pm3 Pm 0.750 0.750 0.000
Pm4 Pm 0.250 0.585 0.333
Pm5 Pm 0.250 0.917 0.667
Pm6 Pm 0.250 0.250 0.000
Y1 Y 0.000 0.333 0.333
Y2 Y 0.500 0.833 0.333
Y3 Y 0.000 0.667 0.667
Y4 Y 0.500 0.167 0.667
Y5 Y 0.500 0.500 0.000
Tb1 Tb 0.000 0.000 0.000
# * magnetization: 0.0 μB/cell
# * DFT formation energy: 0.011 eV/atom
# * space-group type: C2/m

=====

Number 1 is which compound? HgRh2Pb4

=====

What is the formula in the first record? HgRh2Pb4

=====

What is the DFT formation energy in the second record? 0.133 eV/atom

=====

DFT formation energy of number 1 (HgRh2Pb4)? -0.033 eV/atom